Entry 1:
CuAg: relaxed, PBE-GGA.

Cell lengths 2.8113, 2.8113, 14.8851 Å; angles 90.00, 90.00, 90.00 degrees
Positions (direct):
Ag (0.5000, 0.0000, 0.2213)
Ag (0.5000, 0.0000, 0.9264)
Ag (0.0000, 0.5000, 0.0736)
Ag (0.0000, 0.5000, 0.7787)
Cu (0.0000, 0.5000, 0.3477)
Cu (0.0000, 0.5000, 0.5502)
Cu (0.5000, 0.0000, 0.6523)
Cu (0.5000, 0.0000, 0.4498)

Formation energy from the elements (eV per atom): 0.0463
Uncorrected energy (eV per atom): -3.224

Entry 2:
CuAg: relaxed, PBE-GGA.

Cell lengths 2.8374, 2.8374, 18.4798 Å; angles 90.00, 90.00, 90.00 degrees
Positions (direct):
Cu (0.5000, 0.5000, 0.3090)
Cu (0.0000, 0.0000, 0.3895)
Cu (0.5000, 0.5000, 0.9071)
Cu (0.0000, 0.0000, 0.9886)
Cu (0.5000, 0.5000, 0.7059)
Ag (0.0000, 0.0000, 0.6060)
Ag (0.5000, 0.5000, 0.0900)
Ag (0.0000, 0.0000, 0.2086)
Ag (0.5000, 0.5000, 0.4890)
Ag (0.0000, 0.0000, 0.8063)

Formation energy from the elements (eV per atom): 0.0714
Uncorrected energy (eV per atom): -3.199